A plane-wave DFT calculation with PBE was carried out for a geometry-optimized Dy2Sn3Pd4 structure.

abc: 6.0824 7.5008 8.7649
angles: 90.00 110.30 90.00
Positions (direct):
Sn (0.5121, 0.7500, 0.5242)
Sn (0.0121, 0.7500, 0.5242)
Sn (0.5000, 0.5000, 0.0000)
Sn (0.4879, 0.2500, 0.4758)
Sn (0.0000, 0.0000, 0.0000)
Sn (0.9879, 0.2500, 0.4758)
Pd (0.6662, 0.5204, 0.3324)
Pd (0.1815, 0.7500, 0.8631)
Pd (0.3185, 0.2500, 0.1369)
Pd (0.3338, 0.4796, 0.6676)
Pd (0.1662, 0.9796, 0.3324)
Pd (0.8185, 0.2500, 0.1369)
Pd (0.6815, 0.7500, 0.8631)
Pd (0.8338, 0.0204, 0.6676)
Dy (0.1022, 0.5926, 0.2043)
Dy (0.3978, 0.0925, 0.7957)
Dy (0.8978, 0.4074, 0.7957)
Dy (0.6022, 0.9074, 0.2043)

Its density of states at the Fermi level is 4.35 states/eV/f.u. Its space-group type is Cmce (64). The value obtained for the energy of formation is -0.761 eV/atom. The electronic total energy comes out at -5.43 eV/atom.